# 1
DFT (GGA-PBE) results for crystalline CeSc2Ag at its relaxed geometry.

Lattice parameters (Å, degrees): 4.5677 4.5677 4.6074 90.00 90.00 90.00
Closest atoms and distances in Å follow each position.
Space group P4/mmm (No. 123)
Inequivalent atoms, fractional coordinates:
Ce 0.0000 0.0000 0.0000 (multiplicity 1)  4 Ag 3.23, 8 Sc 3.24
Sc 0.0000 0.5000 0.5000 (multiplicity 2)  4 Sc 3.23, 4 Ce 3.24, 4 Ag 3.24
Ag 0.5000 0.5000 0.0000 (multiplicity 1)  4 Ce 3.23, 8 Sc 3.24

## Properties
The calculation puts the calculated formation energy at 0.067 eV/atom. The value obtained for the distance to the lowest polymorph of the same formula is 150 meV/atom.

---

# 2
DFT (GGA-PBE) results for crystalline CeP2AuO8 at its relaxed geometry.

Lattice parameters (Å, degrees): 4.9822 4.9822 22.7352 90.00 90.00 120.00
Closest atoms and distances in Å follow each position.
Space group R-3 (No. 148, hexagonal axes)
Inequivalent atoms, fractional coordinates:
Ce 0.0000 0.0000 0.0000 (multiplicity 3)  6 O 2.27
P 0.0000 0.0000 0.2475 (multiplicity 6)  4 O 1.55-1.56
Au 0.0000 0.0000 0.5000 (multiplicity 3)  12 O 2.89-2.96
O 0.0000 0.0000 0.1794 (multiplicity 6)  1 P 1.55
O 0.0015 0.2934 0.2714 (multiplicity 18)  1 P 1.56

## Properties
The calculation puts the uncorrected formation energy at -1.934 eV per atom.

---

# 3
DFT (GGA-PBE) results for crystalline BaHo2Th at its relaxed geometry.

Lattice parameters (Å, degrees): 3.6196 3.6196 38.2020 90.00 90.00 120.00
Closest atoms and distances in Å follow each position.
Space group R-3m (No. 166, hexagonal axes)
Inequivalent atoms, fractional coordinates:
Ba 0.0000 0.0000 0.0000 (multiplicity 3)  6 Ba 3.62, 2 Ho 3.63
Ho 0.0000 0.0000 0.0950 (multiplicity 6)  3 Th 3.44, 6 Ho 3.62, 1 Ba 3.63
Th 0.0000 0.0000 0.5000 (multiplicity 3)  6 Ho 3.44, 6 Th 3.62

## Properties
The calculation puts the calculated formation energy at 0.206 eV/atom. The value obtained for the distance to the lowest polymorph of the same formula is 85 meV/atom.

---

# 4
DFT (GGA-PBE) results for crystalline RbClF3 at its relaxed geometry.

Lattice parameters (Å, degrees): 4.4419 4.4419 4.4419 90.00 90.00 90.00
Closest atoms and distances in Å follow each position.
Space group Pm-3m (No. 221)
Inequivalent atoms, fractional coordinates:
Rb 0.0000 0.0000 0.0000 (multiplicity 1)  12 F 3.14
Cl 0.5000 0.5000 0.5000 (multiplicity 1)  6 F 2.22
F 0.0000 0.5000 0.5000 (multiplicity 3)  2 Cl 2.22

## Properties
The calculation puts the uncorrected formation energy at -1.229 eV per atom. The value obtained for the distance to the lowest polymorph of the same formula is 275 meV/atom.

---

# 5
DFT (GGA-PBE) results for crystalline TbSnRh4 at its relaxed geometry.

Lattice parameters (Å, degrees): 3.0510 4.5357 7.9142 90.00 90.00 90.00
Closest atoms and distances in Å follow each position.
Space group Pmmm (No. 47)
Inequivalent atoms, fractional coordinates:
Tb 0.0000 0.0000 0.0000 (multiplicity 1)  8 Rh 2.81-2.87, 2 Tb 3.05
Sn 0.5000 0.5000 0.5000 (multiplicity 1)  8 Rh 2.67-2.77
Rh 0.0000 0.5000 0.2227 (multiplicity 2)  2 Sn 2.67, 4 Rh 2.80, 2 Tb 2.87
Rh 0.5000 0.0000 0.2984 (multiplicity 2)  2 Sn 2.77, 6 Rh 2.80-3.05, 2 Tb 2.81

## Properties
The calculation puts the calculated formation energy at -0.209 eV/atom. The value obtained for the distance to the lowest polymorph of the same formula is 279 meV/atom.

---

# 6
DFT (GGA-PBE) results for crystalline NaPdSe at its relaxed geometry.

Lattice parameters (Å, degrees): 3.6248 3.6248 10.1668 90.00 90.00 90.00
Closest atoms and distances in Å follow each position.
Space group I4mm (No. 107)
Inequivalent atoms, fractional coordinates:
Na 0.0000 0.0000 0.0000 (multiplicity 2)  1 Pd 2.78, 1 Se 2.82
Pd 0.0000 0.0000 0.2738 (multiplicity 2)  4 Se 2.62, 1 Na 2.78
Se 0.0000 0.0000 0.7228 (multiplicity 2)  4 Pd 2.62, 1 Na 2.82

## Properties
The calculation puts the uncorrected formation energy at -0.465 eV per atom. The value obtained for the distance to the lowest polymorph of the same formula is 137 meV/atom.

---

# 7
DFT (GGA-PBE) results for crystalline MoPPb at its relaxed geometry.

Lattice parameters (Å, degrees): 3.2792 3.2792 10.6541 90.00 90.00 90.00
Closest atoms and distances in Å follow each position.
Space group I4mm (No. 107)
Inequivalent atoms, fractional coordinates:
Mo 0.0000 0.0000 0.0000 (multiplicity 2)  4 P 2.48
P 0.0000 0.0000 0.5821 (multiplicity 2)  4 Mo 2.48
Pb 0.0000 0.0000 0.2961 (multiplicity 2)  5 P 3.05-3.25, 5 Mo 3.15-3.18, 4 Pb 3.28

## Properties
The calculation puts the calculated formation energy at 0.048 eV/atom. The value obtained for the distance to the lowest polymorph of the same formula is 0 meV/atom.

---

# 8
DFT (GGA-PBE) results for crystalline Mn2CrPdN at its relaxed geometry.

Lattice parameters (Å, degrees): 3.7872 3.7872 3.8254 90.00 90.00 90.00
Closest atoms and distances in Å follow each position.
Space group P4/mmm (No. 123)
Inequivalent atoms, fractional coordinates:
Mn 0.0000 0.5000 0.0000 (multiplicity 2)  2 N 1.89
Cr 0.0000 0.0000 0.5000 (multiplicity 1)  2 N 1.91
Pd 0.5000 0.5000 0.5000 (multiplicity 1)  4 Cr 2.68, 8 Mn 2.69
N 0.0000 0.0000 0.0000 (multiplicity 1)  4 Mn 1.89, 2 Cr 1.91

## Properties
The calculation puts the uncorrected formation energy at -0.123 eV per atom.

---

| no. | E (eV per atom) |
| --- | --- |
| 1 | -5.295 |
| 2 | -6.909 |
| 3 | -4.419 |
| 4 | -2.914 |
| 5 | -6.549 |
| 6 | -3.797 |
| 7 | -6.601 |
| 8 | -8.419 |